Entry from Alexandria via LeMat-Bulk: crystalline BaCuTc at its relaxed geometry (GGA-PBE).

Values from the calculation:
- Space group: F-43m, No. 216
- Formation energy: 1.747 eV per atom
- Density of states at the Fermi level: 3.00 states/eV/cell
- Total moment: 0.96 μB/atom
- Volume: 29.26 Å³/atom
- Distance to the lowest polymorph of the same formula: 1030 meV per atom

Lattice parameters (Å, degrees): 4.989 4.989 4.989 60.00 60.00 60.00
Last column: magnetic moment on the atom in μB.
Fractional positions:
Ba (0.250, 0.250, 0.250)  0.05
Cu (0.000, 0.000, 0.000)  0.02
Tc (0.500, 0.500, 0.500)  2.48

***

Entry from Alexandria via LeMat-Bulk: crystalline KOsCl6F at its relaxed geometry (GGA-PBE).

Values from the calculation:
- Space group: P-31c, No. 163
- E_form (uncorrected): -0.670 eV/atom
- Density of states at the Fermi level: 33.80 states/eV/cell
- Total moment: 0.35 μB/atom
- Volume: 29.73 Å³/atom

Lattice parameters (Å, degrees): 7.534 7.534 10.886 90.00 90.00 120.00
Last column: magnetic moment on the atom in μB.
Fractional positions:
K (0.333, 0.667, 0.250)  0.00
Cl (0.414, 0.327, 0.374)  0.11
Cl (0.586, 0.673, 0.626)  0.11
Cl (0.586, 0.913, 0.874)  0.11
Cl (0.913, 0.586, 0.374)  0.11
Cl (0.087, 0.414, 0.626)  0.11
Cl (0.673, 0.586, 0.126)  0.11
Cl (0.327, 0.414, 0.874)  0.11
Os (0.333, 0.667, 0.750)  1.62
Os (0.667, 0.333, 0.250)  1.62
Cl (0.414, 0.087, 0.126)  0.11
Cl (0.913, 0.327, 0.126)  0.11
F (0.000, 0.000, 0.500)  0.47
Cl (0.087, 0.673, 0.874)  0.11
Cl (0.327, 0.913, 0.626)  0.11
Cl (0.673, 0.087, 0.374)  0.11
K (0.667, 0.333, 0.750)  0.00
F (0.000, 0.000, 0.000)  0.47

***

Entry from Alexandria via LeMat-Bulk: crystalline ScMoIr2 at its relaxed geometry (GGA-PBE).

Values from the calculation:
- Space group: Cm, No. 8
- Formation energy: -0.396 eV per atom
- Density of states at the Fermi level: 3.49 states/eV/cell
- Total moment: 0.00 μB/atom
- Volume: 16.11 Å³/atom
- Distance to the lowest polymorph of the same formula: 123 meV per atom

Lattice parameters (Å, degrees): 5.005 5.005 4.767 80.24 80.24 33.25
Fractional positions:
Sc (0.263, 0.263, 0.209)
Ir (0.013, 0.013, 0.035)
Ir (0.743, 0.743, 0.709)
Mo (0.482, 0.482, 0.547)

***

Entry from Alexandria via LeMat-Bulk: crystalline SrFeAg3 at its relaxed geometry (GGA-PBE).

Values from the calculation:
- Space group: Pm-3m, No. 221
- Formation energy: 1.520 eV per atom
- Density of states at the Fermi level: 12.29 states/eV/cell
- Total moment: 0.78 μB/atom
- Volume: 36.20 Å³/atom
- Distance to the lowest polymorph of the same formula: 1208 meV per atom

Lattice parameters (Å, degrees): 5.657 5.657 5.657 90.00 90.00 90.00
Last column: magnetic moment on the atom in μB.
Fractional positions:
Ag (0.500, 0.000, 0.000)  0.01
Ag (0.000, 0.500, 0.000)  0.03
Sr (0.000, 0.000, 0.000)  0.02
Ag (0.000, 0.000, 0.500)  0.05
Fe (0.500, 0.500, 0.500)  3.39

***

Entry from Alexandria via LeMat-Bulk: crystalline SiRu2Rh at its relaxed geometry (GGA-PBE).

Values from the calculation:
- Space group: R3m, No. 160
- E_form (uncorrected): -0.170 eV/atom
- Density of states at the Fermi level: 5.05 states/eV/cell
- Total moment: 0.00 μB/atom
- Volume: 13.67 Å³/atom

Lattice parameters (Å, degrees): 8.395 8.395 8.395 18.98 18.98 18.98
Fractional positions:
Ru (0.245, 0.245, 0.245)
Ru (0.998, 0.998, 0.998)
Rh (0.757, 0.757, 0.757)
Si (0.500, 0.500, 0.500)

***

Entry from Alexandria via LeMat-Bulk: crystalline LiSmEu2 at its relaxed geometry (GGA-PBE).

Values from the calculation:
- Space group: P4/mmm, No. 123
- Formation energy: 0.129 eV per atom
- Density of states at the Fermi level: 9.17 states/eV/cell
- Total moment: 3.69 μB/atom
- Volume: 34.99 Å³/atom
- Distance to the lowest polymorph of the same formula: 43 meV per atom

Lattice parameters (Å, degrees): 3.936 5.963 5.963 90.00 90.00 90.00
Last column: magnetic moment on the atom in μB.
Fractional positions:
Eu (0.000, 0.500, 0.000)  -6.92
Eu (0.000, 0.000, 0.500)  -6.92
Li (0.500, 0.000, 0.000)  -0.01
Sm (0.500, 0.500, 0.500)  -0.13

***

Entry from Alexandria via LeMat-Bulk: crystalline Re4C3 at its relaxed geometry (GGA-PBE).

Values from the calculation:
- Space group: I4/mmm, No. 139
- Formation energy: 0.646 eV per atom
- Density of states at the Fermi level: 2.67 states/eV/cell
- Total moment: 0.00 μB/atom
- Volume: 10.86 Å³/atom
- Distance to the lowest polymorph of the same formula: 0 meV per atom

Lattice parameters (Å, degrees): 9.944 9.944 9.944 163.85 163.85 22.91
Fractional positions:
C (0.000, 0.000, 0.000)
Re (0.172, 0.172, 0.000)
Re (0.567, 0.567, 0.000)
Re (0.828, 0.828, 0.000)
C (0.713, 0.713, 0.000)
Re (0.433, 0.433, 0.000)
C (0.287, 0.287, 0.000)

***

Entry from Alexandria via LeMat-Bulk: crystalline Ta2PbSe at its relaxed geometry (GGA-PBE).

Values from the calculation:
- Space group: Cmmm, No. 65
- E_form (uncorrected): 0.444 eV/atom
- Density of states at the Fermi level: 3.45 states/eV/cell
- Total moment: 0.00 μB/atom
- Volume: 20.07 Å³/atom
- Distance to the lowest polymorph of the same formula: 510 meV per atom

Lattice parameters (Å, degrees): 3.124 3.124 9.022 90.00 90.00 114.22
Fractional positions:
Pb (0.500, 0.500, 0.250)
Ta (0.000, 0.000, 0.975)
Se (0.500, 0.500, 0.750)
Ta (0.000, 0.000, 0.525)

***

Entry from Alexandria via LeMat-Bulk: crystalline LaGdCu4Sn4 at its relaxed geometry (GGA-PBE).

Values from the calculation:
- Space group: P4mm, No. 99
- Formation energy: -0.421 eV per atom
- Density of states at the Fermi level: 4.56 states/eV/cell
- Total moment: 0.70 μB/atom
- Volume: 21.40 Å³/atom

Lattice parameters (Å, degrees): 4.462 4.462 10.747 90.00 90.00 90.00
Last column: magnetic moment on the atom in μB.
Fractional positions:
Sn (0.500, 0.500, 0.875)  -0.01
Cu (0.000, 0.000, 0.363)  -0.01
Gd (0.500, 0.500, 0.235)  7.00
Sn (0.000, 0.500, 0.497)  -0.01
Cu (0.500, 0.500, 0.637)  0.00
Cu (0.000, 0.500, 0.003)  0.00
Sn (0.000, 0.000, 0.130)  -0.02
Cu (0.500, 0.000, 0.003)  0.00
Sn (0.500, 0.000, 0.497)  -0.01
La (0.000, 0.000, 0.759)  -0.01

***

Entry from Alexandria via LeMat-Bulk: crystalline CsNaGa2I8 at its relaxed geometry (GGA-PBE).

Values from the calculation:
- Space group: R-3, No. 148
- E_form (uncorrected): -0.829 eV/atom
- Density of states at the Fermi level: 0.00 states/eV/cell
- Total moment: 0.00 μB/atom
- Volume: 45.68 Å³/atom

Lattice parameters (Å, degrees): 7.580 7.580 11.855 71.36 71.36 60.00
Fractional positions:
Cs (0.500, 0.500, 0.500)
I (0.938, 0.589, 0.180)
I (0.411, 0.706, 0.820)
I (0.062, 0.411, 0.820)
I (0.294, 0.938, 0.180)
I (0.706, 0.062, 0.820)
I (0.829, 0.829, 0.513)
Ga (0.249, 0.249, 0.252)
I (0.171, 0.171, 0.487)
Ga (0.751, 0.751, 0.748)
I (0.589, 0.294, 0.180)
Na (0.000, 0.000, 0.000)

***

Entry from Alexandria via LeMat-Bulk: crystalline Mg4BiSb2 at its relaxed geometry (GGA-PBE).

Values from the calculation:
- Space group: I4_1/amd, No. 141
- E_form (uncorrected): -0.187 eV/atom
- Density of states at the Fermi level: 6.72 states/eV/cell
- Total moment: 0.00 μB/atom
- Volume: 31.99 Å³/atom

Lattice parameters (Å, degrees): 8.580 8.580 8.580 90.34 119.81 119.81
Fractional positions:
Mg (0.726, 0.135, 0.861)
Mg (0.274, 0.139, 0.865)
Sb (0.750, 0.375, 0.625)
Sb (0.250, 0.875, 0.625)
Mg (0.226, 0.611, 0.385)
Mg (0.774, 0.615, 0.389)
Bi (0.500, 0.750, 0.250)
Mg (0.774, 0.159, 0.385)
Bi (0.000, 0.000, 0.000)
Mg (0.274, 0.135, 0.409)
Mg (0.226, 0.615, 0.841)
Sb (0.750, 0.375, 0.125)
Mg (0.726, 0.591, 0.865)
Sb (0.250, 0.375, 0.625)

***

Entry from Alexandria via LeMat-Bulk: crystalline Ba2CoPt at its relaxed geometry (GGA-PBE).

Values from the calculation:
- Space group: F-43m, No. 216
- Formation energy: 0.314 eV per atom
- Density of states at the Fermi level: 8.69 states/eV/cell
- Total moment: 0.33 μB/atom
- Volume: 25.97 Å³/atom

Lattice parameters (Å, degrees): 5.276 5.276 5.276 60.00 60.00 60.00
Last column: magnetic moment on the atom in μB.
Fractional positions:
Ba (0.000, 0.000, 0.000)  -0.07
Pt (0.750, 0.750, 0.750)  0.05
Ba (0.250, 0.250, 0.250)  -0.07
Co (0.500, 0.500, 0.500)  1.62